[1]
PrSm3: relaxed, GGA-PBEsol.

## Properties
Volume: 128.3 Å³ per cell
Relative energy among the computed polymorphs: 0 meV/atom
ΔH_f (0 K): 0.01 eV/atom
DOS(E_F): 1.43 states/eV per atom

a b c (Å): 5.043 5.043 5.043
angles (deg): 90.00 90.00 90.00
Space group Pm-3m (No. 221)
Inequivalent atoms, fractional coordinates:
Pr 0.000 0.000 0.000 (multiplicity 1)
Sm 0.000 0.500 0.500 (multiplicity 3)



[2]
PrSm3: relaxed, GGA-PBEsol.

## Properties
Volume: 258.2 Å³ per cell
Relative energy among the computed polymorphs: 22 meV/atom
ΔH_f (0 K): 0.03 eV/atom
DOS(E_F): 1.63 states/eV per atom

a b c (Å): 7.1744 7.1744 5.7917
angles (deg): 90.00 90.00 120.00
Space group P6_3/mmc (No. 194)
Inequivalent atoms, fractional coordinates:
Pr 0.3333 0.6667 0.2500 (multiplicity 2)
Sm 0.1664 0.3328 0.7500 (multiplicity 6)



[3]
PrSm3: relaxed, GGA-PBEsol.

## Properties
Volume: 513.4 Å³ per cell
Relative energy among the computed polymorphs: 1 meV/atom
ΔH_f (0 K): 0.01 eV/atom
DOS(E_F): 1.47 states/eV per atom

a b c (Å): 7.137 7.138 10.079
angles (deg): 90.00 90.00 90.00
Space group Fmmm (No. 69)
Inequivalent atoms, fractional coordinates:
Pr 0.000 0.000 0.000 (multiplicity 4)
Sm 0.000 0.000 0.500 (multiplicity 4)
Sm 0.250 0.250 0.250 (multiplicity 8)



[4]
Pr3Sn: relaxed, GGA-PBEsol.

## Properties
Volume: 117.4 Å³ per cell
ΔH_f (0 K): -0.50 eV/atom
DOS(E_F): 1.16 states/eV per atom

a b c (Å): 4.896 4.896 4.896
angles (deg): 90.00 90.00 90.00
Space group Pm-3m (No. 221)
Inequivalent atoms, fractional coordinates:
Pr 0.000 0.000 0.500 (multiplicity 3)
Sn 0.500 0.500 0.500 (multiplicity 1)